Material: Dy2B4C
Method: DFT, GGA-PBE
State: optimized geometry

Values from the calculation:
For the total DFT energy (no corrections), the calculation gives -7.02 eV/atom. The calculated density is 7.78 g cm⁻³.

Lattice parameters (Å, degrees): 5.267 5.267 5.267 143.83 102.86 88.29
Sites, in units of the cell vectors:
Dy 0.235 0.235 0.000
Dy 0.765 0.765 0.000
B 0.227 0.500 0.727
B 0.365 0.000 0.365
B 0.635 0.000 0.635
B 0.773 0.500 0.273
C 0.000 0.500 0.500